# 1
DFT (PBE-GGA) results for a relaxed structure of TcAgOF2.

N(E_F)	0.36	states/eV/atom
ΔE_f (raw)	-0.05	eV per atom
VASP energy	-22.2	eV per cell
offset from the most stable computed form	0.998	eV per atom

a b c (Å): 4.2836 4.2836 4.2106
angles (deg): 90.00 90.00 90.00
Last column: nearest neighbours and their distance in Å.
Fractional positions:
Tc 0.5000 0.5000 0.5000  8 F 3.00, 4 O 3.03
O 0.0000 0.0000 0.5000  2 Ag 2.11
F 0.0000 0.5000 0.0000  2 Ag 2.14
Ag 0.0000 0.0000 0.0000  2 O 2.11, 4 F 2.14
F 0.5000 0.0000 0.0000  2 Ag 2.14

***

# 2
DFT (PBE-GGA) results for a relaxed structure of TcAgO4F.

N(E_F)	0.09	states/eV/atom
ΔE_f (raw)	-1.05	eV per atom
VASP energy	-84.6	eV per cell

a b c (Å): 6.1138 6.1138 7.7050
angles (deg): 73.03 73.03 73.13
Last column: nearest neighbours and their distance in Å.
Fractional positions:
F 0.9053 0.9053 0.8956  1 Ag 2.05
O 0.1368 0.5271 0.1747  1 Tc 1.75
O 0.4729 0.8632 0.8253  1 Tc 1.75
Ag 0.1693 0.1693 0.8186  1 F 2.05, 3 O 2.14-2.22
O 0.2274 0.2274 0.5230  1 Tc 1.76
O 0.5300 0.5300 0.2945  1 Tc 1.72
O 0.8632 0.4729 0.8253  1 Tc 1.75
Tc 0.3551 0.3551 0.2927  4 O 1.72-1.76
O 0.7726 0.7726 0.4770  1 Tc 1.76
Tc 0.6449 0.6449 0.7073  4 O 1.72-1.76
O 0.5271 0.1368 0.1747  1 Tc 1.75
Ag 0.8307 0.8307 0.1814  1 F 2.05, 3 O 2.14-2.22
O 0.4700 0.4700 0.7055  1 Tc 1.72
F 0.0947 0.0947 0.1044  1 Ag 2.05

***

# 3
DFT (PBE-GGA) results for a relaxed structure of AgTeOF2.

N(E_F)	0.54	states/eV/atom
ΔE_f (raw)	-0.84	eV per atom
VASP energy	-18.9	eV per cell
offset from the most stable computed form	0.000	eV per atom

a b c (Å): 4.6511 4.6511 4.1005
angles (deg): 90.00 90.00 90.00
Last column: nearest neighbours and their distance in Å.
Fractional positions:
Ag 0.5000 0.5000 0.5000  8 F 3.10, 4 O 3.29
F 0.5000 0.0000 0.0000  2 Te 2.33
O 0.0000 0.0000 0.5000  2 Te 2.05
Te 0.0000 0.0000 0.0000  2 O 2.05
F 0.0000 0.5000 0.0000  2 Te 2.33

***

# 4
DFT (PBE-GGA) results for a relaxed structure of AgTeOF2.

N(E_F)	0.66	states/eV/atom
ΔE_f (raw)	-0.30	eV per atom
VASP energy	-16.2	eV per cell
offset from the most stable computed form	0.542	eV per atom

a b c (Å): 4.2439 4.2439 4.4458
angles (deg): 90.00 90.00 90.00
Last column: nearest neighbours and their distance in Å.
Fractional positions:
F 0.5000 0.0000 0.0000  2 Ag 2.12
O 0.0000 0.0000 0.5000  2 Ag 2.22
F 0.0000 0.5000 0.0000  2 Ag 2.12
Ag 0.0000 0.0000 0.0000  4 F 2.12, 2 O 2.22
Te 0.5000 0.5000 0.5000  4 O 3.00, 8 F 3.07